No. 1
Below is crystalline V8Cr2Re at its relaxed geometry, with properties calculated at the PBE level.

Geometry as CIF:
```
data_V8Cr2Re
_chemical_formula_sum 'V8 Cr2 Re1'
_symmetry_space_group_name_H-M 'P 1'
_symmetry_Int_Tables_number 1
_cell_length_a 5.733
_cell_length_b 5.733
_cell_length_c 4.995
_cell_angle_alpha 95.91
_cell_angle_beta 95.91
_cell_angle_gamma 90.23
loop_
_symmetry_equiv_pos_as_xyz
'x,y,z'
loop_
_atom_site_label
_atom_site_type_symbol
_atom_site_fract_x
_atom_site_fract_y
_atom_site_fract_z
_atom_site_occupancy
V1 V 0.085 0.085 0.354 1
V2 V 0.110 0.589 0.272 1
V3 V 0.194 0.194 0.956 1
V4 V 0.411 0.890 0.728 1
V5 V 0.589 0.110 0.272 1
V6 V 0.806 0.806 0.044 1
V7 V 0.890 0.411 0.728 1
V8 V 0.915 0.915 0.646 1
Cr1 Cr 0.361 0.361 0.534 1
Cr2 Cr 0.639 0.639 0.466 1
Re1 Re 0.500 0.500 0.000 1
```

Summary:
Space-group type ... No. 12
Crystal system ... monoclinic
E ... -98.4 eV for the cell shown
Calculated density ... 7.134 g/cm3


No. 2
Below is crystalline VCr4Re at its relaxed geometry, with properties calculated at the PBE level.

Geometry as CIF:
```
data_VCr4Re
_chemical_formula_sum 'V1 Cr4 Re1'
_symmetry_space_group_name_H-M 'P 1'
_symmetry_Int_Tables_number 1
_cell_length_a 4.529
_cell_length_b 4.529
_cell_length_c 4.588
_cell_angle_alpha 90.00
_cell_angle_beta 90.00
_cell_angle_gamma 93.06
loop_
_symmetry_equiv_pos_as_xyz
'x,y,z'
loop_
_atom_site_label
_atom_site_type_symbol
_atom_site_fract_x
_atom_site_fract_y
_atom_site_fract_z
_atom_site_occupancy
V1 V 0.000 0.000 0.000 1
Cr1 Cr 0.151 0.849 0.500 1
Cr2 Cr 0.338 0.338 0.000 1
Cr3 Cr 0.662 0.662 0.000 1
Cr4 Cr 0.849 0.151 0.500 1
Re1 Re 0.500 0.500 0.500 1
```

Summary:
Space-group type ... No. 65
Crystal system ... orthorhombic
E ... -51.9 eV for the cell shown
Calculated density ... 7.865 g/cm3
Relative energy among the computed polymorphs ... 1429 meV per atom


No. 3
Below is crystalline VCr2Re2 at its relaxed geometry, with properties calculated at the PBE level.

Geometry as CIF:
```
data_VCr2Re2
_chemical_formula_sum 'V2 Cr4 Re4'
_symmetry_space_group_name_H-M 'P 1'
_symmetry_Int_Tables_number 1
_cell_length_a 4.963
_cell_length_b 4.963
_cell_length_c 7.371
_cell_angle_alpha 104.67
_cell_angle_beta 104.67
_cell_angle_gamma 50.09
loop_
_symmetry_equiv_pos_as_xyz
'x,y,z'
loop_
_atom_site_label
_atom_site_type_symbol
_atom_site_fract_x
_atom_site_fract_y
_atom_site_fract_z
_atom_site_occupancy
V1 V 0.250 0.250 0.245 1
V2 V 0.750 0.750 0.755 1
Cr1 Cr 0.350 0.350 0.948 1
Cr2 Cr 0.457 0.457 0.653 1
Cr3 Cr 0.543 0.543 0.347 1
Cr4 Cr 0.650 0.650 0.052 1
Re1 Re 0.051 0.051 0.851 1
Re2 Re 0.154 0.154 0.548 1
Re3 Re 0.846 0.846 0.452 1
Re4 Re 0.949 0.949 0.149 1
```

Summary:
Space-group type ... No. 12
Crystal system ... monoclinic
E ... -107.5 eV for the cell shown
Calculated density ... 13.098 g/cm3
Relative energy among the computed polymorphs ... 0 meV per atom


No. 4
Below is crystalline VCr4Re at its relaxed geometry, with properties calculated at the PBE level.

Geometry as CIF:
```
data_VCr4Re
_chemical_formula_sum 'V1 Cr4 Re1'
_symmetry_space_group_name_H-M 'P 1'
_symmetry_Int_Tables_number 1
_cell_length_a 4.849
_cell_length_b 4.849
_cell_length_c 5.838
_cell_angle_alpha 107.71
_cell_angle_beta 107.71
_cell_angle_gamma 35.10
loop_
_symmetry_equiv_pos_as_xyz
'x,y,z'
loop_
_atom_site_label
_atom_site_type_symbol
_atom_site_fract_x
_atom_site_fract_y
_atom_site_fract_z
_atom_site_occupancy
V1 V 0.000 0.000 0.000 1
Cr1 Cr 0.329 0.329 0.668 1
Cr2 Cr 0.330 0.330 0.162 1
Cr3 Cr 0.670 0.670 0.838 1
Cr4 Cr 0.671 0.671 0.332 1
Re1 Re 0.000 0.000 0.500 1
```

Summary:
Space-group type ... No. 12
Crystal system ... monoclinic
E ... -60.5 eV for the cell shown
Calculated density ... 9.881 g/cm3
Relative energy among the computed polymorphs ... 0 meV per atom


No. 5
Below is crystalline V3CrRe at its relaxed geometry, with properties calculated at the PBE level.

Geometry as CIF:
```
data_V3CrRe
_chemical_formula_sum 'V6 Cr2 Re2'
_symmetry_space_group_name_H-M 'P 1'
_symmetry_Int_Tables_number 1
_cell_length_a 4.224
_cell_length_b 4.220
_cell_length_c 7.749
_cell_angle_alpha 90.00
_cell_angle_beta 105.75
_cell_angle_gamma 90.00
loop_
_symmetry_equiv_pos_as_xyz
'x,y,z'
loop_
_atom_site_label
_atom_site_type_symbol
_atom_site_fract_x
_atom_site_fract_y
_atom_site_fract_z
_atom_site_occupancy
V1 V 0.051 0.250 0.102 1
V2 V 0.250 0.250 0.500 1
V3 V 0.448 0.250 0.896 1
V4 V 0.552 0.750 0.104 1
V5 V 0.750 0.750 0.500 1
V6 V 0.949 0.750 0.898 1
Cr1 Cr 0.149 0.750 0.298 1
Cr2 Cr 0.851 0.250 0.702 1
Re1 Re 0.350 0.750 0.700 1
Re2 Re 0.650 0.250 0.300 1
```

Summary:
Space-group type ... No. 11
Crystal system ... monoclinic
E ... -101.1 eV for the cell shown
Calculated density ... 9.768 g/cm3
Relative energy among the computed polymorphs ... 0 meV per atom


No. 6
Below is crystalline V3CrRe3 at its relaxed geometry, with properties calculated at the PBE level.

Geometry as CIF:
```
data_V3CrRe3
_chemical_formula_sum 'V6 Cr2 Re6'
_symmetry_space_group_name_H-M 'P 1'
_symmetry_Int_Tables_number 1
_cell_length_a 5.955
_cell_length_b 5.955
_cell_length_c 5.895
_cell_angle_alpha 90.00
_cell_angle_beta 90.00
_cell_angle_gamma 91.08
loop_
_symmetry_equiv_pos_as_xyz
'x,y,z'
loop_
_atom_site_label
_atom_site_type_symbol
_atom_site_fract_x
_atom_site_fract_y
_atom_site_fract_z
_atom_site_occupancy
V1 V 0.202 0.202 0.500 1
V2 V 0.226 0.774 0.000 1
V3 V 0.255 0.255 0.000 1
V4 V 0.745 0.745 0.000 1
V5 V 0.774 0.226 0.000 1
V6 V 0.798 0.798 0.500 1
Cr1 Cr 0.261 0.739 0.500 1
Cr2 Cr 0.739 0.261 0.500 1
Re1 Re 0.000 0.500 0.251 1
Re2 Re 0.000 0.500 0.749 1
Re3 Re 0.500 0.000 0.251 1
Re4 Re 0.500 0.000 0.749 1
Re5 Re 0.500 0.500 0.254 1
Re6 Re 0.500 0.500 0.746 1
```

Summary:
Space-group type ... No. 65
Crystal system ... orthorhombic
E ... -147.3 eV for the cell shown
Calculated density ... 12.131 g/cm3


No. 7
Below is crystalline V12Cr5Re2 at its relaxed geometry, with properties calculated at the PBE level.

Geometry as CIF:
```
data_V12Cr5Re2
_chemical_formula_sum 'V12 Cr5 Re2'
_symmetry_space_group_name_H-M 'P 1'
_symmetry_Int_Tables_number 1
_cell_length_a 7.332
_cell_length_b 7.332
_cell_length_c 8.234
_cell_angle_alpha 107.45
_cell_angle_beta 107.45
_cell_angle_gamma 41.03
loop_
_symmetry_equiv_pos_as_xyz
'x,y,z'
loop_
_atom_site_label
_atom_site_type_symbol
_atom_site_fract_x
_atom_site_fract_y
_atom_site_fract_z
_atom_site_occupancy
V1 V 0.000 0.000 0.163 1
V2 V 0.000 0.000 0.837 1
V3 V 0.070 0.540 0.385 1
V4 V 0.080 0.588 0.937 1
V5 V 0.403 0.403 0.708 1
V6 V 0.412 0.920 0.063 1
V7 V 0.460 0.930 0.615 1
V8 V 0.540 0.070 0.385 1
V9 V 0.588 0.080 0.937 1
V10 V 0.597 0.597 0.292 1
V11 V 0.920 0.412 0.063 1
V12 V 0.930 0.460 0.615 1
Cr1 Cr 0.139 0.139 0.351 1
Cr2 Cr 0.168 0.168 0.819 1
Cr3 Cr 0.500 0.500 0.000 1
Cr4 Cr 0.832 0.832 0.181 1
Cr5 Cr 0.861 0.861 0.649 1
Re1 Re 0.250 0.750 0.500 1
Re2 Re 0.750 0.250 0.500 1
```

Summary:
Space-group type ... No. 12
Crystal system ... monoclinic
E ... -172.4 eV for the cell shown
Calculated density ... 7.501 g/cm3


No. 8
Below is crystalline V12Cr6Re at its relaxed geometry, with properties calculated at the PBE level.

Geometry as CIF:
```
data_V12Cr6Re
_chemical_formula_sum 'V12 Cr6 Re1'
_symmetry_space_group_name_H-M 'P 1'
_symmetry_Int_Tables_number 1
_cell_length_a 6.360
_cell_length_b 6.360
_cell_length_c 6.360
_cell_angle_alpha 87.87
_cell_angle_beta 87.87
_cell_angle_gamma 87.87
loop_
_symmetry_equiv_pos_as_xyz
'x,y,z'
loop_
_atom_site_label
_atom_site_type_symbol
_atom_site_fract_x
_atom_site_fract_y
_atom_site_fract_z
_atom_site_occupancy
V1 V 0.019 0.312 0.920 1
V2 V 0.080 0.981 0.688 1
V3 V 0.114 0.360 0.439 1
V4 V 0.312 0.920 0.019 1
V5 V 0.360 0.439 0.114 1
V6 V 0.439 0.114 0.360 1
V7 V 0.561 0.886 0.640 1
V8 V 0.640 0.561 0.886 1
V9 V 0.688 0.080 0.981 1
V10 V 0.886 0.640 0.561 1
V11 V 0.920 0.019 0.312 1
V12 V 0.981 0.688 0.080 1
Cr1 Cr 0.228 0.620 0.767 1
Cr2 Cr 0.233 0.772 0.380 1
Cr3 Cr 0.380 0.233 0.772 1
Cr4 Cr 0.620 0.767 0.228 1
Cr5 Cr 0.767 0.228 0.620 1
Cr6 Cr 0.772 0.380 0.233 1
Re1 Re 0.500 0.500 0.500 1
```

Summary:
Space-group type ... No. 148
Crystal system ... trigonal
E ... -176.8 eV for the cell shown
Calculated density ... 7.177 g/cm3


No. 9
Below is crystalline V7Cr2Re3 at its relaxed geometry, with properties calculated at the PBE level.

Geometry as CIF:
```
data_V7Cr2Re3
_chemical_formula_sum 'V7 Cr2 Re3'
_symmetry_space_group_name_H-M 'P 1'
_symmetry_Int_Tables_number 1
_cell_length_a 10.238
_cell_length_b 10.238
_cell_length_c 4.233
_cell_angle_alpha 90.00
_cell_angle_beta 90.00
_cell_angle_gamma 156.63
loop_
_symmetry_equiv_pos_as_xyz
'x,y,z'
loop_
_atom_site_label
_atom_site_type_symbol
_atom_site_fract_x
_atom_site_fract_y
_atom_site_fract_z
_atom_site_occupancy
V1 V 0.000 0.000 0.000 1
V2 V 0.077 0.923 0.500 1
V3 V 0.282 0.718 0.000 1
V4 V 0.425 0.575 0.000 1
V5 V 0.575 0.425 0.000 1
V6 V 0.718 0.282 0.000 1
V7 V 0.923 0.077 0.500 1
Cr1 Cr 0.147 0.853 0.000 1
Cr2 Cr 0.853 0.147 0.000 1
Re1 Re 0.349 0.651 0.500 1
Re2 Re 0.500 0.500 0.500 1
Re3 Re 0.651 0.349 0.500 1
```

Summary:
Space-group type ... No. 65
Crystal system ... orthorhombic
E ... -117.6 eV for the cell shown
Calculated density ... 9.617 g/cm3


No. 10
Below is crystalline V2Cr8Re at its relaxed geometry, with properties calculated at the PBE level.

Geometry as CIF:
```
data_V2Cr8Re
_chemical_formula_sum 'V2 Cr8 Re1'
_symmetry_space_group_name_H-M 'P 1'
_symmetry_Int_Tables_number 1
_cell_length_a 2.876
_cell_length_b 6.346
_cell_length_c 7.875
_cell_angle_alpha 89.62
_cell_angle_beta 89.91
_cell_angle_gamma 77.11
loop_
_symmetry_equiv_pos_as_xyz
'x,y,z'
loop_
_atom_site_label
_atom_site_type_symbol
_atom_site_fract_x
_atom_site_fract_y
_atom_site_fract_z
_atom_site_occupancy
V1 V 0.000 0.000 0.000 1
V2 V 0.159 0.660 0.254 1
Cr1 Cr 0.025 0.995 0.498 1
Cr2 Cr 0.157 0.670 0.747 1
Cr3 Cr 0.331 0.336 0.001 1
Cr4 Cr 0.503 0.004 0.256 1
Cr5 Cr 0.507 0.996 0.744 1
Cr6 Cr 0.641 0.668 0.503 1
Cr7 Cr 0.666 0.660 0.998 1
Cr8 Cr 0.834 0.323 0.268 1
Re1 Re 0.835 0.331 0.726 1
```

Summary:
Space-group type ... No. 1
Crystal system ... triclinic
E ... -105.6 eV for the cell shown
Calculated density ... 8.344 g/cm3


No. 11
Below is crystalline V7Cr3Re2 at its relaxed geometry, with properties calculated at the PBE level.

Geometry as CIF:
```
data_V7Cr3Re2
_chemical_formula_sum 'V7 Cr3 Re2'
_symmetry_space_group_name_H-M 'P 1'
_symmetry_Int_Tables_number 1
_cell_length_a 10.466
_cell_length_b 10.466
_cell_length_c 3.983
_cell_angle_alpha 90.00
_cell_angle_beta 90.00
_cell_angle_gamma 156.50
loop_
_symmetry_equiv_pos_as_xyz
'x,y,z'
loop_
_atom_site_label
_atom_site_type_symbol
_atom_site_fract_x
_atom_site_fract_y
_atom_site_fract_z
_atom_site_occupancy
V1 V 0.000 0.000 0.000 1
V2 V 0.073 0.927 0.500 1
V3 V 0.286 0.714 0.000 1
V4 V 0.428 0.572 0.000 1
V5 V 0.572 0.428 0.000 1
V6 V 0.714 0.286 0.000 1
V7 V 0.927 0.073 0.500 1
Cr1 Cr 0.354 0.646 0.500 1
Cr2 Cr 0.500 0.500 0.500 1
Cr3 Cr 0.646 0.354 0.500 1
Re1 Re 0.148 0.852 0.000 1
Re2 Re 0.852 0.148 0.000 1
```

Summary:
Space-group type ... No. 65
Crystal system ... orthorhombic
E ... -114.2 eV for the cell shown
Calculated density ... 8.448 g/cm3


No. 12
Below is crystalline V6CrRe2 at its relaxed geometry, with properties calculated at the PBE level.

Geometry as CIF:
```
data_V6CrRe2
_chemical_formula_sum 'V6 Cr1 Re2'
_symmetry_space_group_name_H-M 'P 1'
_symmetry_Int_Tables_number 1
_cell_length_a 6.997
_cell_length_b 6.997
_cell_length_c 4.153
_cell_angle_alpha 107.20
_cell_angle_beta 107.20
_cell_angle_gamma 49.19
loop_
_symmetry_equiv_pos_as_xyz
'x,y,z'
loop_
_atom_site_label
_atom_site_type_symbol
_atom_site_fract_x
_atom_site_fract_y
_atom_site_fract_z
_atom_site_occupancy
V1 V 0.083 0.595 0.339 1
V2 V 0.239 0.761 0.000 1
V3 V 0.405 0.917 0.661 1
V4 V 0.595 0.083 0.339 1
V5 V 0.761 0.239 0.000 1
V6 V 0.917 0.405 0.661 1
Cr1 Cr 0.000 0.000 0.500 1
Re1 Re 0.334 0.334 0.833 1
Re2 Re 0.666 0.666 0.167 1
```

Summary:
Space-group type ... No. 12
Crystal system ... monoclinic
E ... -84.3 eV for the cell shown
Calculated density ... 8.331 g/cm3
Relative energy among the computed polymorphs ... 741 meV per atom


Q: The highest calculated density belongs to which entry?
A: VCr2Re2